Entry 1:
Here is crystalline Co2HPt at its relaxed geometry from the Alexandria database. Energies are from PBE.

Geometry as CIF:
```
data_Co2HPt
_chemical_formula_sum 'Co8 H4 Pt4'
_cell_length_a 5.436
_cell_length_b 5.436
_cell_length_c 5.694
_cell_angle_alpha 90.00
_cell_angle_beta 90.00
_cell_angle_gamma 90.00
_space_group_name_H-M_alt 'I -4 2 d'
_space_group_IT_number 122
_space_group_name_Hall 'I -4 2bw'
loop_
_atom_site_label
_atom_site_type_symbol
_atom_site_fract_x
_atom_site_fract_y
_atom_site_fract_z
_atom_site_occupancy
Co1 Co 0.118 0.250 0.125 1
H1 H 0.000 0.000 0.000 1
Pt1 Pt 0.000 0.000 0.500 1
```

Values from the calculation:
- Excess energy over the best structure of this formula in the dataset: 0.747 eV/f.u.
- N(E_F): 5.38 states/eV/f.u.

***

Entry 2:
Here is crystalline Co4HPt at its relaxed geometry from the Alexandria database. Energies are from PBE.

Geometry as CIF:
```
data_Co4HPt
_chemical_formula_sum 'Co4 H1 Pt1'
_cell_length_a 2.633
_cell_length_b 4.217
_cell_length_c 6.214
_cell_angle_alpha 71.18
_cell_angle_beta 89.84
_cell_angle_gamma 89.90
_space_group_name_H-M_alt 'P 1'
_space_group_IT_number 1
_space_group_name_Hall 'P 1'
loop_
_atom_site_label
_atom_site_type_symbol
_atom_site_fract_x
_atom_site_fract_y
_atom_site_fract_z
_atom_site_occupancy
Co1 Co 0.000 0.000 0.000 1
Co2 Co 0.001 0.412 0.239 1
Co3 Co 0.499 0.846 0.357 1
Co4 Co 0.504 0.615 0.855 1
H1 H 0.003 0.401 0.974 1
Pt1 Pt 0.500 0.223 0.610 1
```

Values from the calculation:
- N(E_F): 5.64 states/eV/f.u.
- Final energy: -6.1781 eV/atom

***

Entry 3:
Here is crystalline CoH2Pt at its relaxed geometry from the Alexandria database. Energies are from PBE.

Geometry as CIF:
```
data_CoH2Pt
_chemical_formula_sum 'Co4 H8 Pt4'
_cell_length_a 4.070
_cell_length_b 4.070
_cell_length_c 8.201
_cell_angle_alpha 90.00
_cell_angle_beta 90.00
_cell_angle_gamma 90.00
_space_group_name_H-M_alt 'I -4 2 d'
_space_group_IT_number 122
_space_group_name_Hall 'I -4 2bw'
loop_
_atom_site_label
_atom_site_type_symbol
_atom_site_fract_x
_atom_site_fract_y
_atom_site_fract_z
_atom_site_occupancy
Co1 Co 0.000 0.000 0.000 1
H1 H 0.224 0.250 0.125 1
Pt1 Pt 0.000 0.000 0.500 1
```

Values from the calculation:
- Excess energy over the best structure of this formula in the dataset: 0.265 eV/f.u.
- N(E_F): 3.84 states/eV/f.u.

***

Entry 4:
Here is crystalline Co2HPt at its relaxed geometry from the Alexandria database. Energies are from PBE.

Geometry as CIF:
```
data_Co2HPt
_chemical_formula_sum 'Co6 H3 Pt3'
_cell_length_a 2.6897
_cell_length_b 2.6897
_cell_length_c 19.1201
_cell_angle_alpha 90.00
_cell_angle_beta 90.00
_cell_angle_gamma 120.00
_space_group_name_H-M_alt 'R -3 m'
_space_group_IT_number 166
_space_group_name_Hall '-R 3 2"'
loop_
_atom_site_label
_atom_site_type_symbol
_atom_site_fract_x
_atom_site_fract_y
_atom_site_fract_z
_atom_site_occupancy
Co1 Co 0.0000 0.0000 0.2190 1
H1 H 0.0000 0.0000 0.5000 1
Pt1 Pt 0.0000 0.0000 0.0000 1
```

Values from the calculation:
- Excess energy over the best structure of this formula in the dataset: 0.000 eV/f.u.
- N(E_F): 3.88 states/eV/f.u.

***

Entry 5:
Here is crystalline Co5H12Pt3 at its relaxed geometry from the Alexandria database. Energies are from PBE.

Geometry as CIF:
```
data_Co5H12Pt3
_chemical_formula_sum 'Co40 H96 Pt24'
_cell_length_a 10.462
_cell_length_b 10.462
_cell_length_c 10.462
_cell_angle_alpha 90.00
_cell_angle_beta 90.00
_cell_angle_gamma 90.00
_space_group_name_H-M_alt 'I a -3 d'
_space_group_IT_number 230
_space_group_name_Hall '-I 4bd 2c 3'
loop_
_atom_site_label
_atom_site_type_symbol
_atom_site_fract_x
_atom_site_fract_y
_atom_site_fract_z
_atom_site_occupancy
Co1 Co 0.000 0.000 0.000 1
Co2 Co 0.000 0.250 0.375 1
H1 H 0.023 0.063 0.648 1
Pt1 Pt 0.000 0.250 0.125 1
```

Values from the calculation:
- N(E_F): 15.09 states/eV/f.u.
- Final energy: -4.4334 eV/atom

***

Entry 6:
Here is crystalline CoH2Pt at its relaxed geometry from the Alexandria database. Energies are from PBE.

Geometry as CIF:
```
data_CoH2Pt
_chemical_formula_sum 'Co3 H6 Pt3'
_cell_length_a 2.7301
_cell_length_b 2.7301
_cell_length_c 15.0087
_cell_angle_alpha 90.00
_cell_angle_beta 90.00
_cell_angle_gamma 120.00
_space_group_name_H-M_alt 'R 3 m'
_space_group_IT_number 160
_space_group_name_Hall 'R 3 -2"'
loop_
_atom_site_label
_atom_site_type_symbol
_atom_site_fract_x
_atom_site_fract_y
_atom_site_fract_z
_atom_site_occupancy
Co1 Co 0.0000 0.0000 0.0000 1
H1 H 0.0000 0.0000 0.3834 1
H2 H 0.0000 0.0000 0.6221 1
Pt1 Pt 0.0000 0.0000 0.1745 1
```

Values from the calculation:
- Excess energy over the best structure of this formula in the dataset: 0.258 eV/f.u.
- N(E_F): 3.48 states/eV/f.u.

***

Entry 7:
Here is crystalline Co2HPt at its relaxed geometry from the Alexandria database. Energies are from PBE.

Geometry as CIF:
```
data_Co2HPt
_chemical_formula_sum 'Co2 H1 Pt1'
_cell_length_a 2.617
_cell_length_b 2.617
_cell_length_c 6.110
_cell_angle_alpha 90.00
_cell_angle_beta 90.00
_cell_angle_gamma 90.00
_space_group_name_H-M_alt 'P 4/m m m'
_space_group_IT_number 123
_space_group_name_Hall '-P 4 2'
loop_
_atom_site_label
_atom_site_type_symbol
_atom_site_fract_x
_atom_site_fract_y
_atom_site_fract_z
_atom_site_occupancy
Co1 Co 0.000 0.000 0.185 1
H1 H 0.500 0.500 0.000 1
Pt1 Pt 0.500 0.500 0.500 1
```

Values from the calculation:
- Excess energy over the best structure of this formula in the dataset: 1.079 eV/f.u.
- N(E_F): 2.64 states/eV/f.u.

***

Entry 8:
Here is crystalline CoH2Pt at its relaxed geometry from the Alexandria database. Energies are from PBE.

Geometry as CIF:
```
data_CoH2Pt
_chemical_formula_sum 'Co4 H8 Pt4'
_cell_length_a 5.132
_cell_length_b 5.132
_cell_length_c 5.132
_cell_angle_alpha 90.00
_cell_angle_beta 90.00
_cell_angle_gamma 90.00
_space_group_name_H-M_alt 'F m -3 m'
_space_group_IT_number 225
_space_group_name_Hall '-F 4 2 3'
loop_
_atom_site_label
_atom_site_type_symbol
_atom_site_fract_x
_atom_site_fract_y
_atom_site_fract_z
_atom_site_occupancy
Co1 Co 0.000 0.000 0.000 1
H1 H 0.250 0.250 0.250 1
Pt1 Pt 0.000 0.000 0.500 1
```

Values from the calculation:
- Excess energy over the best structure of this formula in the dataset: 1.913 eV/f.u.
- N(E_F): 4.52 states/eV/f.u.

***

Entry 9:
Here is crystalline CoH2Pt at its relaxed geometry from the Alexandria database. Energies are from PBE.

Geometry as CIF:
```
data_CoH2Pt
_chemical_formula_sum 'Co3 H6 Pt3'
_cell_length_a 2.7792
_cell_length_b 2.7792
_cell_length_c 14.7482
_cell_angle_alpha 90.00
_cell_angle_beta 90.00
_cell_angle_gamma 120.00
_space_group_name_H-M_alt 'R -3 m'
_space_group_IT_number 166
_space_group_name_Hall '-R 3 2"'
loop_
_atom_site_label
_atom_site_type_symbol
_atom_site_fract_x
_atom_site_fract_y
_atom_site_fract_z
_atom_site_occupancy
Co1 Co 0.0000 0.0000 0.0000 1
H1 H 0.0000 0.0000 0.3796 1
Pt1 Pt 0.0000 0.0000 0.5000 1
```

Values from the calculation:
- Excess energy over the best structure of this formula in the dataset: 0.000 eV/f.u.
- N(E_F): 3.18 states/eV/f.u.

***

Entry 10:
Here is crystalline Co2H2Pt at its relaxed geometry from the Alexandria database. Energies are from PBE.

Geometry as CIF:
```
data_Co2H2Pt
_chemical_formula_sum 'Co4 H4 Pt2'
_cell_length_a 3.222
_cell_length_b 3.222
_cell_length_c 8.102
_cell_angle_alpha 90.00
_cell_angle_beta 90.00
_cell_angle_gamma 90.00
_space_group_name_H-M_alt 'I 4/m m m'
_space_group_IT_number 139
_space_group_name_Hall '-I 4 2'
loop_
_atom_site_label
_atom_site_type_symbol
_atom_site_fract_x
_atom_site_fract_y
_atom_site_fract_z
_atom_site_occupancy
Co1 Co 0.000 0.000 0.171 1
H1 H 0.000 0.500 0.250 1
Pt1 Pt 0.000 0.000 0.500 1
```

Values from the calculation:
- Excess energy over the best structure of this formula in the dataset: 0.000 eV/f.u.
- N(E_F): 2.74 states/eV/f.u.